Entry 1:
This record from the Alexandria database describes TbCeMgZn after structural relaxation. The functional is PBE.

```
4
Lattice="0.0000 3.7027 3.7027 3.7027 0.0000 3.7027 3.7027 3.7027 0.0000" Properties=species:S:1:pos:R:3 pbc="T T T"
Tb 0.0000 0.0000 0.0000
Ce 3.7027 3.7027 3.7027
Mg 5.5541 5.5541 5.5541
Zn 1.8514 1.8514 1.8514
```

Properties
energy of formation	-91	meV per atom
space group	F-43m, No. 216

=====

Entry 2:
This record from the Alexandria database describes ThZnRh after structural relaxation. The functional is PBE.

```
3
Lattice="4.4118 0.0000 0.0000 -2.2059 3.8207 0.0000 0.0000 0.0000 3.7467" Properties=species:S:1:pos:R:3 pbc="T T T"
Th 0.0000 0.0000 0.0000
Zn 0.0000 2.5472 1.8734
Rh 2.2059 1.2736 1.8734
```

Properties
energy of formation	-600	meV per atom
space group	P-6m2, No. 187

=====

Entry 3:
This record from the Alexandria database describes Pm6TePb3Se2 after structural relaxation. The functional is PBE.

```
12
Lattice="9.6637 -2.2126 0.0000 9.6637 2.2126 0.0000 -2.1141 0.0000 8.6330" Properties=species:S:1:pos:R:3 pbc="T T T"
Pm -0.4422 0.0000 2.2056
Pm 5.4899 0.0000 3.6565
Pm 4.4664 0.0000 7.8448
Pm 12.7469 0.0000 0.7882
Pm 11.7235 0.0000 4.9765
Pm 17.6555 0.0000 6.4274
Te 9.6637 0.0000 0.0000
Pb 1.4131 0.0000 7.1681
Pb 8.6067 0.0000 4.3165
Pb 15.8002 0.0000 1.4649
Se 2.5436 0.0000 2.8838
Se 14.6697 0.0000 5.7492
```

Properties
space group	C2/m, No. 12
ΔE_f (raw)	-1114	meV/atom

=====

Entry 4:
This record from the Alexandria database describes InFe2TcN after structural relaxation. The functional is PBE.

```
5
Lattice="3.9432 0.0000 0.0000 0.0000 3.9432 0.0000 0.0000 0.0000 4.0625" Properties=species:S:1:pos:R:3 pbc="T T T"
In 0.0000 0.0000 0.0000
Fe 0.0000 1.9716 2.0312
Fe 1.9716 0.0000 2.0312
Tc 1.9716 1.9716 0.0000
N 1.9716 1.9716 2.0312
```

Properties
space group	P4/mmm, No. 123
ΔE_f (raw)	-9	meV/atom

=====

Entry 5:
This record from the Alexandria database describes Rh3Se8 after structural relaxation. The functional is PBE.

```
11
Lattice="4.3078 2.4871 3.4492 -4.3078 2.4871 3.4492 0.0000 -4.9742 3.4492" Properties=species:S:1:pos:R:3 pbc="T T T"
Rh -2.1539 -1.2435 3.4492
Rh -2.1539 1.2435 6.8983
Rh 0.0000 2.4871 3.4491
Se -1.1656 -3.1509 4.7527
Se -3.3116 -0.5661 5.5948
Se 0.0000 0.0000 3.9181
Se -2.1460 2.5849 4.7527
Se 2.1460 -2.5849 5.5948
Se 0.0000 0.0000 6.4294
Se 3.3116 0.5661 4.7527
Se 1.1656 3.1509 5.5948
```

Properties
space group	R-3, No. 148
ΔE_f (raw)	-392	meV/atom
distance to the lowest polymorph of the same formula	0	meV/atom

=====

Entry 6:
This record from the Alexandria database describes NdMg12Hg4 after structural relaxation. The functional is PBE.

```
17
Lattice="-4.8690 4.8690 4.8690 4.8690 -4.8690 4.8690 4.8690 4.8690 -4.8690" Properties=species:S:1:pos:R:3 pbc="T T T"
Nd 0.0000 0.0000 0.0000
Mg 3.3296 0.0000 1.5292
Mg 6.4084 0.0000 1.5292
Mg 4.8690 3.3397 -1.5394
Mg 1.5292 3.3296 0.0000
Mg 3.3397 -1.5394 4.8690
Mg 0.0000 1.5292 3.3296
Mg 4.8690 3.3397 1.5394
Mg 1.5292 6.4084 0.0000
Mg 3.3397 1.5394 4.8690
Mg 0.0000 1.5292 6.4084
Mg -1.5394 4.8690 3.3397
Mg 1.5394 4.8690 3.3397
Hg 2.4345 2.4345 -2.4345
Hg 2.4345 -2.4345 2.4345
Hg -2.4345 2.4345 2.4345
Hg 2.4345 2.4345 2.4345
```

Properties
energy of formation	97	meV per atom
space group	Im-3, No. 204

=====

Entry 7:
This record from the Alexandria database describes LiLaIn after structural relaxation. The functional is PBE.

```
3
Lattice="-1.6720 2.5048 4.8136 1.6720 -2.5048 4.8136 1.6720 2.5048 -4.8136" Properties=species:S:1:pos:R:3 pbc="T T T"
Li 0.0000 0.0000 0.0000
La 0.0000 0.0000 3.1047
In 0.0000 0.0000 6.3935
```

Properties
energy of formation	-222	meV per atom
space group	Imm2, No. 44

=====

no.,DOS at the Fermi energy (states/eV/cell),M_tot (μB/f.u.)
1,8.122,0.98
2,2.320,0.00
3,4.379,0.00
4,3.371,3.63
5,2.342,0.00
6,7.889,0.00
7,2.456,0.00